This record from Alexandria via LeMat-Bulk describes crystalline SbPb2Au2 at its relaxed geometry. The functional is GGA-PBEsol.

The structure in CIF format:
```
data_SbPb2Au2
_cell_length_a 7.444
_cell_length_b 7.444
_cell_length_c 4.360
_cell_angle_alpha 90.00
_cell_angle_beta 90.00
_cell_angle_gamma 90.00
_symmetry_space_group_name_H-M 'P 4/m b m'
_symmetry_Int_Tables_number 127
_symmetry_space_group_name_Hall '-P 4 2ab'
loop_
_atom_site_label
_atom_site_fract_x
_atom_site_fract_y
_atom_site_fract_z
Sb1 0.000 0.000 0.000
Pb1 0.169 0.331 0.500
Au1 0.133 0.633 0.000
```

Summary:
For the energy above the most stable polymorph in this dataset, the calculation gives 0 meV per atom. As for the magnetization: 0.000 μB per atom. As for the uncorrected formation energy: -0.0404 eV/atom. The value obtained for the total energy is -0.303 Ry per atom.